Entry 1
# MnFeSe

A geometry-optimized MnFeSe structure (GGA-PBE, the Alexandria database).

```
3
Lattice="3.9448 0.0000 0.0000 1.9724 3.4163 0.0000 1.9724 1.1388 3.2209" Properties=species:S:1:pos:R:3 pbc="T T T"
Fe 5.9172 3.4163 2.4157
Mn 0.0000 0.0000 0.0000
Se 3.9448 2.2775 1.6105
```

symmetry	F-43m

Entry 2
# MnFeSe

A geometry-optimized MnFeSe structure (GGA-PBE, the Alexandria database).

```
3
Lattice="4.5984 -0.1961 0.2195 3.5554 2.9231 0.2205 1.0432 0.3479 3.0997" Properties=species:S:1:pos:R:3 pbc="T T T"
Fe 1.0501 0.3501 3.0971
Mn 3.4277 1.1458 2.2079
Se 5.7625 1.9268 1.3344
```

symmetry	I4mm

Entry 3
# MnFeSe

A geometry-optimized MnFeSe structure (GGA-PBE, the Alexandria database).

```
3
Lattice="3.9110 0.0000 0.0000 -1.9555 3.3870 0.0000 0.0000 0.0000 3.2785" Properties=species:S:1:pos:R:3 pbc="T T T"
Fe 0.0000 0.0000 2.8125
Mn 0.0000 2.2580 1.0972
Se 1.9555 1.1290 2.6474
```

symmetry	P3m1

Ranked by calculated energy, most stable first: entry 1, entry 3, entry 2.

Entry 1
# MnFe2Se2

A geometry-optimized MnFe2Se2 structure (GGA-PBE, the Alexandria database).

```
5
Lattice="4.6541 0.0000 0.0000 0.0000 4.6541 0.0000 2.3271 2.3271 3.8191" Properties=species:S:1:pos:R:3 pbc="T T T"
Mn 0.0000 0.0000 0.0000
Fe 2.3271 2.3271 1.1116
Fe 4.6541 4.6541 2.7075
Se 4.6541 2.3271 1.9095
Se 2.3271 4.6541 1.9095
```

symmetry	I4/mmm

Entry 2
# MnFe2Se2

A geometry-optimized MnFe2Se2 structure (GGA-PBE, the Alexandria database).

```
10
Lattice="6.5082 0.0000 0.0000 0.0000 6.5082 0.0000 0.0000 0.0000 3.1521" Properties=species:S:1:pos:R:3 pbc="T T T"
Mn 0.0000 0.0000 0.0000
Mn 3.2541 3.2541 0.0000
Fe 2.4019 5.6560 0.0000
Fe 5.6560 4.1064 0.0000
Fe 4.1064 0.8523 0.0000
Fe 0.8523 2.4019 0.0000
Se 1.1228 4.3770 1.5760
Se 4.3770 5.3854 1.5760
Se 5.3854 2.1313 1.5760
Se 2.1313 1.1228 1.5760
```

symmetry	P4/mbm

Ranked by calculated energy, most stable first: entry 1, entry 2.

Entry 1
# Mn5Fe5Si6

A geometry-optimized Mn5Fe5Si6 structure (GGA-PBE, the Alexandria database).

```
16
Lattice="-2.0779 5.4879 3.4597 -4.1318 -5.3441 -0.8791 1.5899 -1.8757 3.9302" Properties=species:S:1:pos:R:3 pbc="T T T"
Mn -1.4327 0.0332 0.5954
Mn -2.3576 1.3807 2.9804
Mn -3.0319 -2.1758 1.5558
Mn -2.2373 -3.1133 3.5201
Mn -1.5630 0.4432 4.9447
Fe -3.8503 -4.9113 1.9479
Fe -2.3095 3.2150 5.2029
Fe -3.9450 -0.8281 3.9349
Fe -1.5876 4.1284 2.6125
Fe -3.1324 -4.0191 -0.6510
Si -0.4725 2.4014 4.0715
Si -1.7222 -4.1895 1.4315
Si -1.6345 -0.8816 2.9747
Si -4.9326 -3.1353 0.4990
Si -3.7057 3.3353 3.0908
Si -3.8128 0.0883 1.5845
```

symmetry	Amm2

Entry 2
# Mn5Fe5Si6

A geometry-optimized Mn5Fe5Si6 structure (GGA-PBE, the Alexandria database).

```
16
Lattice="-4.5090 -0.0515 -5.0699 0.6728 -5.5497 3.8452 -3.2988 1.6214 2.9173" Properties=species:S:1:pos:R:3 pbc="T T T"
Mn -3.9873 -4.2898 -2.1244
Mn -2.7720 -5.5793 -0.0334
Mn -4.5416 -3.4122 0.5354
Mn -6.0032 -0.5113 -2.7296
Mn -2.0090 -4.7494 4.1423
Fe -3.6264 -1.4700 -1.3955
Fe -1.8696 -3.3342 1.6271
Fe -3.5182 -2.5238 3.0851
Fe -5.2751 -0.6597 0.0625
Fe -0.9721 -1.4194 -0.3103
Si -2.2856 -3.3372 -0.7297
Si 0.2436 -2.2085 1.5029
Si -1.7905 -0.0502 -1.9967
Si -3.1924 -1.4422 0.9661
Si -5.7514 -2.5559 -1.3085
Si -3.6708 -4.7634 2.2710
```

symmetry	Amm2

Ranked by calculated energy, most stable first: entry 2, entry 1.

Entry 1
# MnFeSi4

A geometry-optimized MnFeSi4 structure (GGA-PBE, the Alexandria database).

```
6
Lattice="0.0000 3.4391 3.4391 3.4391 0.0000 3.4391 3.4391 3.4391 0.0000" Properties=species:S:1:pos:R:3 pbc="T T T"
Mn 0.0000 0.0000 0.0000
Fe 5.1586 5.1586 5.1586
Si 2.5805 4.2977 4.2977
Si 4.2977 4.2977 2.5805
Si 4.2977 2.5805 4.2977
Si 2.5805 2.5805 2.5805
```

symmetry	F-43m

Entry 2
# MnFeSi4

A geometry-optimized MnFeSi4 structure (GGA-PBE, the Alexandria database).

```
6
Lattice="2.7294 0.0000 0.0000 0.0000 2.7294 0.0000 0.0000 0.0000 10.2661" Properties=species:S:1:pos:R:3 pbc="T T T"
Mn 0.0000 0.0000 5.1330
Fe 0.0000 0.0000 0.0000
Si 1.3647 1.3647 3.7483
Si 1.3647 1.3647 8.8681
Si 1.3647 1.3647 1.3980
Si 1.3647 1.3647 6.5178
```

symmetry	P4/mmm

Ranked by calculated energy, most stable first: entry 2, entry 1.

Entry 1
# Mn2Fe2Sn

A geometry-optimized Mn2Fe2Sn structure (GGA-PBE, the Alexandria database).

```
10
Lattice="-5.5524 -1.4402 3.9209 2.3075 -6.4942 0.8823 1.4267 0.8225 2.3225" Properties=species:S:1:pos:R:3 pbc="T T T"
Mn 1.3340 -4.1394 2.3915
Mn -1.0467 -5.9727 4.5032
Mn -3.1522 -2.9725 4.7342
Mn -0.7715 -1.1392 2.6225
Sn 0.0000 0.0000 0.0000
Sn -1.6225 -3.9672 2.4016
Fe -0.0693 -6.2376 2.2515
Fe -3.4312 -5.3094 3.9881
Fe -3.1756 -1.6967 2.5517
Fe 0.1863 -2.6250 0.8152
```

symmetry	P4/mbm

Entry 2
# Mn2Fe2Sn

A geometry-optimized Mn2Fe2Sn structure (GGA-PBE, the Alexandria database).

```
5
Lattice="3.7929 0.0000 0.0000 0.0000 3.7929 0.0000 1.8964 1.8964 4.8746" Properties=species:S:1:pos:R:3 pbc="T T T"
Mn 3.7929 1.8964 2.4373
Mn 1.8964 3.7929 2.4373
Sn 0.0000 0.0000 0.0000
Fe 1.8964 1.8964 1.0671
Fe 3.7929 3.7929 3.8074
```

symmetry	I4/mmm

Ranked by calculated energy, most stable first: entry 1, entry 2.

Entry 1
# MnFe2Sn2

A geometry-optimized MnFe2Sn2 structure (GGA-PBE, the Alexandria database).

```
10
Lattice="6.3837 0.0000 0.0000 0.0000 6.3837 0.0000 0.0000 0.0000 3.8766" Properties=species:S:1:pos:R:3 pbc="T T T"
Mn 0.0000 0.0000 0.0000
Mn 3.1918 3.1918 0.0000
Sn 1.1109 4.3027 1.9383
Sn 4.3027 5.2728 1.9383
Sn 5.2728 2.0809 1.9383
Sn 2.0809 1.1109 1.9383
Fe 2.3703 5.5621 0.0000
Fe 5.5621 4.0134 0.0000
Fe 4.0134 0.8216 0.0000
Fe 0.8216 2.3703 0.0000
```

symmetry	P4/mbm

Entry 2
# MnFe2Sn2

A geometry-optimized MnFe2Sn2 structure (GGA-PBE, the Alexandria database).

```
5
Lattice="-1.3688 2.3456 1.9678 -2.3598 -2.1817 0.9590 2.7271 -2.2556 7.4436" Properties=species:S:1:pos:R:3 pbc="T T T"
Mn 0.0000 0.0000 0.0000
Sn -0.8458 -0.4366 2.7900
Sn -0.1558 -1.6551 7.5804
Fe -0.2530 0.0860 5.4374
Fe -0.7485 -2.1776 4.9330
```

symmetry	I4/mmm

Ranked by calculated energy, most stable first: entry 1, entry 2.

Entry 1
# TaMn3Fe

A geometry-optimized TaMn3Fe structure (GGA-PBE, the Alexandria database).

```
5
Lattice="-1.7521 -1.5140 3.9579 -1.1144 -3.9675 -2.0109 4.0884 -1.7302 1.1480" Properties=species:S:1:pos:R:3 pbc="T T T"
Mn -0.5572 -1.9837 -1.0055
Mn 2.0442 -0.8651 0.5740
Mn -0.8760 -0.7570 1.9789
Fe 0.6110 -3.6058 1.5475
Ta 0.0000 0.0000 0.0000
```

symmetry	Pm-3m

Entry 2
# TaMn3Fe

A geometry-optimized TaMn3Fe structure (GGA-PBE, the Alexandria database).

```
5
Lattice="-3.8533 1.3941 0.7787 0.5978 -0.6265 4.0802 1.4807 3.8809 0.3790" Properties=species:S:1:pos:R:3 pbc="T T T"
Mn 0.2989 -0.3133 2.0401
Mn 0.7404 1.9405 0.1895
Mn -1.9266 0.6971 0.3893
Fe 0.0000 0.0000 0.0000
Ta -0.8874 2.3243 2.6189
```

symmetry	Pm-3m

Ranked by calculated energy, most stable first: entry 2, entry 1.

Entry 1
# Ta3MnFe

A geometry-optimized Ta3MnFe structure (GGA-PBE, the Alexandria database).

```
5
Lattice="4.5169 0.0000 0.0000 0.0000 4.5169 0.0000 0.0000 0.0000 4.5169" Properties=species:S:1:pos:R:3 pbc="T T T"
Mn 0.0000 0.0000 0.0000
Fe 2.2584 2.2584 2.2584
Ta 0.0000 2.2584 0.0000
Ta 0.0000 0.0000 2.2584
Ta 2.2584 0.0000 0.0000
```

symmetry	Pm-3m

Entry 2
# Ta3MnFe

A geometry-optimized Ta3MnFe structure (GGA-PBE, the Alexandria database).

```
5
Lattice="4.5150 0.0000 0.0000 0.0000 4.5150 0.0000 0.0000 0.0000 4.5150" Properties=species:S:1:pos:R:3 pbc="T T T"
Mn 2.2575 2.2575 2.2575
Fe 0.0000 0.0000 0.0000
Ta 0.0000 2.2575 0.0000
Ta 0.0000 0.0000 2.2575
Ta 2.2575 0.0000 0.0000
```

symmetry	Pm-3m

Ranked by calculated energy, most stable first: entry 2, entry 1.

Entry 1
# TaMn2Fe2

A geometry-optimized TaMn2Fe2 structure (GGA-PBE, the Alexandria database).

```
10
Lattice="6.8620 0.0000 0.0000 0.0000 6.8620 0.0000 0.0000 0.0000 2.5699" Properties=species:S:1:pos:R:3 pbc="T T T"
Mn 1.1655 4.5965 1.2849
Mn 4.5965 5.6965 1.2849
Mn 5.6965 2.2655 1.2849
Mn 2.2655 1.1655 1.2849
Fe 2.5852 6.0162 0.0000
Fe 6.0162 4.2768 0.0000
Fe 4.2768 0.8458 0.0000
Fe 0.8458 2.5852 0.0000
Ta 0.0000 0.0000 0.0000
Ta 3.4310 3.4310 0.0000
```

symmetry	P4/mbm

Entry 2
# TaMn2Fe2

A geometry-optimized TaMn2Fe2 structure (GGA-PBE, the Alexandria database).

```
10
Lattice="-3.1190 1.3761 1.3879 0.6460 -1.7411 3.1779 5.9847 7.7412 0.8931" Properties=species:S:1:pos:R:3 pbc="T T T"
Ta -0.0403 1.7217 3.0831
Ta 3.5520 5.6544 2.3759
Mn 0.3230 -0.8706 1.5890
Mn 1.7131 2.7271 1.1459
Mn -1.5595 0.6880 0.6940
Mn 1.7986 4.6490 4.3131
Fe 0.8146 4.4674 2.2820
Fe 2.8088 6.2572 4.9888
Fe 0.7029 1.1189 0.4702
Fe 2.6971 2.9088 3.1770
```

symmetry	I4/mmm

Ranked by calculated energy, most stable first: entry 1, entry 2.

Entry 1
# MnFeTc2

A geometry-optimized MnFeTc2 structure (GGA-PBE, the Alexandria database).

```
4
Lattice="4.2382 0.0000 0.0000 0.0000 4.2382 0.0000 0.0000 0.0000 2.9668" Properties=species:S:1:pos:R:3 pbc="T T T"
Fe 2.1191 0.0000 1.4834
Mn 0.0000 2.1191 1.4834
Tc 0.0000 0.0000 0.0000
Tc 2.1191 2.1191 0.0000
```

symmetry	P4/mmm

Entry 2
# MnFeTc2

A geometry-optimized MnFeTc2 structure (GGA-PBE, the Alexandria database).

```
4
Lattice="-2.2204 0.3259 4.4173 -4.9540 0.0554 0.0631 4.0023 -2.5783 -1.3723" Properties=species:S:1:pos:R:3 pbc="T T T"
Fe -3.5536 0.1889 2.2192
Mn -2.3118 -1.1638 0.4920
Tc -0.0241 0.0013 0.0151
Tc -0.8697 -1.0326 2.6221
```

symmetry	Imm2

Entry 3
# MnFeTc2

A geometry-optimized MnFeTc2 structure (GGA-PBE, the Alexandria database).

```
8
Lattice="6.6870 0.0000 0.0000 0.0000 6.6870 0.0000 3.3435 3.3435 2.5326" Properties=species:S:1:pos:R:3 pbc="T T T"
Mn 3.3435 3.3435 0.0000
Mn 3.3435 6.6870 1.2663
Tc 4.8231 1.6717 0.6332
Tc 1.8639 5.0152 0.6332
Tc 5.0152 5.2073 1.8995
Tc 8.3587 8.1666 1.8995
Fe 0.0000 0.0000 0.0000
Fe 6.6870 3.3435 1.2663
```

symmetry	I-42d

Ranked by calculated energy, most stable first: entry 2, entry 1, entry 3.

Entry 1
# MnFeTc

A geometry-optimized MnFeTc structure (GGA-PBE, the Alexandria database).

```
3
Lattice="3.9944 0.0000 0.0000 -1.9972 3.4592 0.0000 0.0000 0.0000 2.5978" Properties=species:S:1:pos:R:3 pbc="T T T"
Fe 0.0000 0.0000 0.4327
Mn 1.9972 1.1531 0.4339
Tc 0.0000 2.3062 1.7313
```

symmetry	P-6m2

Entry 2
# MnFeTc

A geometry-optimized MnFeTc structure (GGA-PBE, the Alexandria database).

```
3
Lattice="4.4723 -0.0336 0.0105 2.2455 3.8679 -0.0105 -2.9968 -2.5516 2.1240" Properties=species:S:1:pos:R:3 pbc="T T T"
Fe 0.0199 0.0113 0.0000
Mn 4.4569 2.5438 0.0000
Tc 2.2410 1.2791 0.0000
```

symmetry	Imm2

Entry 3
# MnFeTc

A geometry-optimized MnFeTc structure (GGA-PBE, the Alexandria database).

```
3
Lattice="-5.1088 0.8764 -3.9075 -3.9435 -1.2488 -4.7795 -2.0520 -0.6743 1.4034" Properties=species:S:1:pos:R:3 pbc="T T T"
Fe -9.0247 -0.3735 -8.6471
Mn -4.3991 -0.5730 -1.9797
Tc -6.7329 -0.4724 -5.3436
```

symmetry	Fmm2

Entry 4
# MnFeTc

A geometry-optimized MnFeTc structure (GGA-PBE, the Alexandria database).

```
6
Lattice="-4.6371 -0.3474 -0.4706 2.7515 -3.7035 -0.7469 1.9028 0.4869 4.2411" Properties=species:S:1:pos:R:3 pbc="T T T"
Mn 2.3271 -1.6083 1.7471
Mn -1.3672 0.0698 1.8853
Fe 0.0086 -1.7820 1.5118
Fe 1.3757 -1.8518 -0.3735
Tc 0.8505 -0.1244 3.5007
Tc -0.8334 -3.4397 -0.4771
```

symmetry	Imma

Ranked by calculated energy, most stable first: entry 4, entry 1, entry 2, entry 3.